1.
# V2CdS

V2CdS after structural relaxation (PBE, Alexandria).

extended XYZ file:
```
4
Lattice="0.000 3.113 3.113 3.113 0.000 3.113 3.113 3.113 0.000" Properties=species:S:1:pos:R:3 pbc="T T T"
V 1.557 1.557 1.557
V 4.670 4.670 4.670
Cd 0.000 0.000 0.000
S 3.113 3.113 3.113
```

Summary:
The raw total energy is -5.391 eV/atom. The calculation puts the density of states at the Fermi level at 4.8 states/eV/cell. Its symmetry is Fm-3m (225). For the energy relative to the elements, uncorrected, the calculation gives 0.43 eV per atom. The density is 6.8 g cm⁻³. The volume comes out at 15.08 Å³ per atom. The magnetic moment comes out at 1.25 μB/f.u.

2.
# RbNi3Se

RbNi3Se after structural relaxation (PBE, Alexandria).

extended XYZ file:
```
5
Lattice="4.597 0.000 0.000 0.000 4.597 0.000 0.000 0.000 4.597" Properties=species:S:1:pos:R:3 pbc="T T T"
Rb 0.000 0.000 0.000
Ni 0.000 2.298 2.298
Ni 2.298 0.000 2.298
Ni 2.298 2.298 0.000
Se 2.298 2.298 2.298
```

Summary:
The raw total energy is -3.966 eV/atom. The calculation puts the density of states at the Fermi level at 5.3 states/eV/cell. Its symmetry is Pm-3m (221). For the energy relative to the elements, uncorrected, the calculation gives 0.39 eV per atom. The density is 5.8 g cm⁻³. The volume comes out at 19.42 Å³ per atom. The magnetic moment comes out at 1.00 μB/f.u.

3.
# Nd2MgS4

Nd2MgS4 after structural relaxation (PBE, Alexandria).

extended XYZ file:
```
28
Lattice="6.691 0.000 0.000 0.000 7.291 0.000 0.000 0.000 14.056" Properties=species:S:1:pos:R:3 pbc="T T T"
Nd 0.031 0.734 2.002
Nd 0.031 2.911 9.030
Nd 3.315 4.380 2.002
Nd 3.315 6.557 9.030
Nd 3.376 0.734 5.026
Nd 3.376 2.911 12.054
Nd 6.660 4.380 5.026
Nd 6.660 6.557 12.054
Mg 0.000 0.000 7.028
Mg 0.000 3.646 0.000
Mg 3.345 0.000 0.000
Mg 3.345 3.646 7.028
S 0.796 3.896 11.538
S 0.796 7.041 4.510
S 1.249 5.018 7.597
S 1.249 5.919 0.569
S 2.096 1.373 7.597
S 2.096 2.273 0.569
S 2.550 0.251 11.538
S 2.550 3.395 4.510
S 4.141 3.896 9.545
S 4.141 7.041 2.517
S 4.595 5.018 13.487
S 4.595 5.919 6.459
S 5.441 1.373 13.487
S 5.441 2.273 6.459
S 5.895 0.251 9.545
S 5.895 3.395 2.517
```

Summary:
The raw total energy is -5.772 eV/atom. The calculation puts the density of states at the Fermi level at 0.0 states/eV/cell. Its symmetry is Pbca (61). For the energy relative to the elements, uncorrected, the calculation gives -1.82 eV per atom. The density is 4.3 g cm⁻³. The volume comes out at 24.49 Å³ per atom. The magnetic moment comes out at 0.00 μB/f.u.

4.
# ZrHCl2

ZrHCl2 after structural relaxation (PBE, Alexandria).

extended XYZ file:
```
8
Lattice="-4.859 4.859 1.943 4.859 -4.859 1.943 4.859 4.859 -1.943" Properties=species:S:1:pos:R:3 pbc="T T T"
Zr 0.000 0.000 0.000
Zr 0.000 4.859 0.972
H 4.859 0.000 0.972
H 0.000 0.000 1.943
Cl 0.503 2.430 0.486
Cl -2.430 4.357 1.457
Cl -0.503 7.289 0.486
Cl 2.430 5.362 1.457
```

Summary:
The raw total energy is -4.895 eV/atom. The calculation puts the density of states at the Fermi level at 6.6 states/eV/cell. Its symmetry is I-42d (122). The density is 3.0 g cm⁻³. The volume comes out at 22.94 Å³ per atom. The magnetic moment comes out at 0.00 μB/f.u.